Entry 1:
Material: LaLuSc2
Method: DFT, PBE
State: relaxed

Computed properties:
energy relative to the lowest polymorph listed for this composition: 4 meV/atom
total magnetization: 0.0 μB/f.u.
symmetry: Fm-3m, No. 225
ΔH_f (0 K): 80 meV/atom
crystal system: cubic

Cell lengths 5.455, 5.455, 5.455 Å; angles 60.00, 60.00, 60.00 degrees
Element x y z (fractional)
La 0.500 0.500 0.500
Sc 0.750 0.750 0.750
Sc 0.250 0.250 0.250
Lu 0.000 0.000 0.000

=====

Entry 2:
Material: AcPuAu2
Method: DFT, PBE
State: relaxed

Computed properties:
energy relative to the lowest polymorph listed for this composition: 0 meV/atom
total magnetization: 6.1 μB/f.u.
symmetry: Pm, No. 6
ΔH_f (0 K): -565 meV/atom
crystal system: monoclinic

Cell lengths 4.074, 4.824, 6.096 Å; angles 90.00, 109.36, 90.00 degrees
Site moments in Bohr magnetons follow the coordinates.
Element x y z (fractional)
Ac 0.444 0.500 0.425  0.05
Au 0.168 0.500 0.877  0.01
Au 0.000 0.000 0.537  0.02
Pu 0.719 0.000 0.978  5.50